Computed, not measured: a relaxed structure of EuAgBiPb at the PBE level of DFT.

Structure (extended XYZ):
```
4
Lattice="0.0000 3.8925 3.8925 3.8925 0.0000 3.8925 3.8925 3.8925 0.0000" Properties=species:S:1:pos:R:3 pbc="T T T"
Eu 0.0000 0.0000 0.0000
Ag 1.9462 1.9462 1.9462
Bi 5.8387 5.8387 5.8387
Pb 3.8925 3.8925 3.8925
```

Values from the calculation:
DFT formation energy, eV/atom: -0.2736